Crystalline Dy4AgC at its relaxed geometry, computed with GGA-PBE.

Structure (extended XYZ):
```
12
Lattice="4.1237 -6.9058 0.0000 4.1237 6.9058 0.0000 -3.2218 0.0000 5.3578" Properties=species:S:1:pos:R:3 pbc="T T T"
Dy 0.2360 4.1362 4.5690
Dy -0.3897 0.6618 3.7124
Dy 1.2212 -0.6618 1.0335
Dy 3.1786 4.1362 3.4677
Dy 1.8469 -4.1362 1.8901
Dy 3.8043 0.6618 4.3243
Dy 5.4152 -0.6618 1.6454
Dy 4.7895 -4.1362 0.7888
Ag 3.3182 1.6583 1.3395
Ag 1.7073 -1.6583 4.0184
C 1.7073 5.9874 4.0184
C 3.3182 -5.9874 1.3395
```

Results
The volume is 25.4 Å³/atom. The total energy is -62.4 eV per cell. Its formation energy is -124 meV per atom. The space group is C2/c.